The following is a GGA-PBE calculation of crystalline Pu2BiH3 at its relaxed geometry, from the Alexandria database.

```
data_Pu2BiH3
_symmetry_space_group_name_H-M 'C 1 2/m 1'
_symmetry_Int_Tables_number 12
_cell_length_a 13.753
_cell_length_b 4.091
_cell_length_c 7.224
_cell_angle_alpha 90.00
_cell_angle_beta 113.64
_cell_angle_gamma 90.00
loop_
_symmetry_equiv_pos_as_xyz
'x,y,z'
'-x,-y,-z'
'-x,y,-z'
'x,-y,z'
'x+1/2,y+1/2,z'
'-x+1/2,-y+1/2,-z'
'-x+1/2,y+1/2,-z'
'x+1/2,-y+1/2,z'
loop_
_atom_site_label
_atom_site_fract_x
_atom_site_fract_y
_atom_site_fract_z
_atom_site_occupancy
Pu1 0.009 0.000 0.234 1
Pu2 0.167 0.500 0.607 1
Bi1 0.158 0.500 0.091 1
H1 0.000 0.500 0.354 1
H2 0.086 0.000 0.583 1
H3 0.184 0.000 0.449 1
```

Properties
The value obtained for the energy above the lowest structure with this stoichiometry is 0.0 meV per atom. As for the crystal system: monoclinic.

=====

The following is a GGA-PBE calculation of crystalline Ce3TmHf2P6 at its relaxed geometry, from the Alexandria database.

```
data_Ce3TmHf2P6
_symmetry_space_group_name_H-M 'C 1 2/m 1'
_symmetry_Int_Tables_number 12
_cell_length_a 6.780
_cell_length_b 11.747
_cell_length_c 6.797
_cell_angle_alpha 90.00
_cell_angle_beta 109.45
_cell_angle_gamma 90.00
loop_
_symmetry_equiv_pos_as_xyz
'x,y,z'
'-x,-y,-z'
'-x,y,-z'
'x,-y,z'
'x+1/2,y+1/2,z'
'-x+1/2,-y+1/2,-z'
'-x+1/2,y+1/2,-z'
'x+1/2,-y+1/2,z'
loop_
_atom_site_label
_atom_site_fract_x
_atom_site_fract_y
_atom_site_fract_z
_atom_site_occupancy
Ce1 0.000 0.000 0.000 1
Ce2 0.000 0.336 0.000 1
Tm1 0.000 0.500 0.500 1
Hf1 0.000 0.167 0.500 1
P1 0.234 0.000 0.729 1
P2 0.248 0.329 0.732 1
```

Properties
As for the crystal system: monoclinic. As for the energy relative to the elements: -1.464 eV/atom.